Entry 1:
Compound: La4BiSbAs2
Source: the Alexandria database
Functional: PBE
Structure: optimized geometry

Computed properties:
Total energy   -5.980 eV/atom
E_form (uncorrected)   -1354 meV per atom
Space-group type   P2/m

abc: 4.5046 7.8685 7.8002
angles: 70.73 90.00 90.00
Sites, in units of the cell vectors:
La  0.0000  0.7683  0.7417
La  0.0000  0.2317  0.2583
La  0.5000  0.7667  0.2465
La  0.5000  0.2333  0.7535
Bi  0.5000  0.5000  0.0000
Sb  0.0000  0.5000  0.5000
As  0.0000  0.0000  0.0000
As  0.5000  0.0000  0.5000

Entry 2:
Compound: La4Bi2SbAs
Source: the Alexandria database
Functional: PBE
Structure: optimized geometry

Computed properties:
Total energy   -5.752 eV/atom
E_form (uncorrected)   -1221 meV per atom
Space-group type   P2/m

abc: 4.5941 7.9875 7.9674
angles: 70.66 90.00 90.00
Sites, in units of the cell vectors:
La  0.0000  0.7396  0.7459
La  0.0000  0.2604  0.2541
La  0.5000  0.7348  0.2619
La  0.5000  0.2652  0.7381
Bi  0.0000  0.0000  0.0000
Bi  0.5000  0.0000  0.5000
Sb  0.5000  0.5000  0.0000
As  0.0000  0.5000  0.5000

Entry 3:
Compound: La6Bi3SbAs2
Source: the Alexandria database
Functional: PBE
Structure: optimized geometry

Computed properties:
Total energy   -5.798 eV/atom
E_form (uncorrected)   -1246 meV per atom
Space-group type   C2/m

abc: 4.5696 9.1904 10.2512
angles: 103.28 102.88 90.00
Sites, in units of the cell vectors:
La  0.3327  0.9025  0.6653
La  0.6715  0.5722  0.3430
La  0.6673  0.0975  0.3347
La  0.0065  0.2505  0.0129
La  0.9935  0.7495  0.9871
La  0.3285  0.4278  0.6570
Bi  0.5000  0.5000  0.0000
Bi  0.8356  0.1682  0.6711
Bi  0.1644  0.8318  0.3289
Sb  0.5000  0.0000  0.0000
As  0.8319  0.6649  0.6638
As  0.1681  0.3351  0.3362

Entry 4:
Compound: La4BiAsSe2
Source: the Alexandria database
Functional: PBE
Structure: optimized geometry

Computed properties:
Total energy   -6.054 eV/atom
E_form (uncorrected)   -1652 meV per atom
Space-group type   P2/m

abc: 4.4367 7.6262 7.7338
angles: 70.44 90.00 90.00
Sites, in units of the cell vectors:
La  0.0000  0.7589  0.7337
La  0.0000  0.2411  0.2663
La  0.5000  0.7493  0.2624
La  0.5000  0.2507  0.7376
Bi  0.5000  0.5000  0.0000
As  0.0000  0.5000  0.5000
Se  0.0000  0.0000  0.0000
Se  0.5000  0.0000  0.5000

Entry 5:
Compound: La6Bi3AsSe2
Source: the Alexandria database
Functional: PBE
Structure: optimized geometry

Computed properties:
Total energy   -5.851 eV/atom
E_form (uncorrected)   -1448 meV per atom
Space-group type   C2/m

abc: 4.5205 9.0477 10.1182
angles: 103.02 102.91 90.00
Sites, in units of the cell vectors:
La  0.3395  0.9111  0.6790
La  0.6695  0.5744  0.3390
La  0.6605  0.0889  0.3210
La  0.0026  0.2360  0.0052
La  0.9974  0.7640  0.9948
La  0.3305  0.4256  0.6610
Bi  0.5000  0.5000  0.0000
Bi  0.8318  0.1676  0.6637
Bi  0.1682  0.8324  0.3363
As  0.5000  0.0000  0.0000
Se  0.8332  0.6665  0.6663
Se  0.1668  0.3335  0.3337

Entry 6:
Compound: LaSmBiAs
Source: the Alexandria database
Functional: PBE
Structure: optimized geometry

Computed properties:
Total energy   -5.792 eV/atom
DFT formation energy   -28.8 kcal/mol of atoms
Space-group type   R3m

abc: 4.4383 4.4383 7.7881
angles: 73.44 73.44 60.00
Sites, in units of the cell vectors:
La  0.9927  0.9927  0.0218
Sm  0.5069  0.5069  0.4792
Bi  0.7526  0.7526  0.7423
As  0.2478  0.2478  0.2567

Entry 7:
Compound: Sr3LaBi2As
Source: the Alexandria database
Functional: PBE
Structure: optimized geometry

Computed properties:
Total energy   -4.128 eV/atom
DFT formation energy   -21.4 kcal/mol of atoms
Space-group type   Immm

abc: 5.7270 5.6581 9.6174
angles: 107.11 107.32 90.00
Sites, in units of the cell vectors:
Sr  0.0000  0.5000  0.0000
Sr  0.1778  0.1778  0.3557
Sr  0.8222  0.8222  0.6443
La  0.5000  0.0000  0.0000
Bi  0.6299  0.6299  0.2597
Bi  0.3701  0.3701  0.7403
As  0.0000  0.0000  0.0000

Entry 8:
Compound: LaTbBiAs
Source: the Alexandria database
Functional: PBE
Structure: optimized geometry

Computed properties:
Total energy   -5.757 eV/atom
DFT formation energy   -28.5 kcal/mol of atoms
Space-group type   R3m

abc: 4.4036 4.4036 7.7240
angles: 73.44 73.44 60.00
Sites, in units of the cell vectors:
La  0.9926  0.9926  0.0223
Tb  0.5071  0.5071  0.4787
Bi  0.7541  0.7541  0.7378
As  0.2463  0.2463  0.2612

Entry 9:
Compound: La6Bi3Te2As
Source: the Alexandria database
Functional: PBE
Structure: optimized geometry

Computed properties:
Total energy   -5.681 eV/atom
E_form (uncorrected)   -1336 meV per atom
Space-group type   C2/m

abc: 4.6084 9.2276 10.3012
angles: 102.68 102.93 90.00
Sites, in units of the cell vectors:
La  0.3416  0.9217  0.6833
La  0.6652  0.5850  0.3305
La  0.6584  0.0783  0.3167
La  0.9983  0.2322  0.9966
La  0.0017  0.7678  0.0034
La  0.3348  0.4150  0.6695
Bi  0.5000  0.5000  0.0000
Bi  0.8297  0.1647  0.6593
Bi  0.1703  0.8353  0.3407
Te  0.8338  0.6660  0.6677
Te  0.1662  0.3340  0.3323
As  0.5000  0.0000  0.0000

Entry 10:
Compound: La6Bi2Te3As
Source: the Alexandria database
Functional: PBE
Structure: optimized geometry

Computed properties:
Total energy   -5.719 eV/atom
E_form (uncorrected)   -1435 meV per atom
Space-group type   C2/m

abc: 4.5796 9.2089 10.2749
angles: 102.88 102.88 90.00
Sites, in units of the cell vectors:
La  0.3433  0.9217  0.6866
La  0.6657  0.5840  0.3314
La  0.6567  0.0783  0.3134
La  0.9987  0.2273  0.9974
La  0.0013  0.7727  0.0026
La  0.3343  0.4160  0.6686
Bi  0.8337  0.6661  0.6674
Bi  0.1663  0.3339  0.3326
Te  0.5000  0.5000  0.0000
Te  0.8299  0.1641  0.6599
Te  0.1701  0.8359  0.3401
As  0.5000  0.0000  0.0000

Entry 11:
Compound: La6BiTe2As3
Source: the Alexandria database
Functional: PBE
Structure: optimized geometry

Computed properties:
Total energy   -6.012 eV/atom
E_form (uncorrected)   -1539 meV per atom
Space-group type   C2/m

abc: 4.4693 9.0537 10.1000
angles: 104.04 102.78 90.00
Sites, in units of the cell vectors:
La  0.3284  0.9306  0.6569
La  0.6608  0.5972  0.3216
La  0.6716  0.0694  0.3431
La  0.9951  0.2617  0.9901
La  0.0049  0.7383  0.0099
La  0.3392  0.4028  0.6784
Bi  0.5000  0.0000  0.0000
Te  0.8325  0.6653  0.6649
Te  0.1675  0.3347  0.3351
As  0.5000  0.5000  0.0000
As  0.8328  0.1677  0.6656
As  0.1672  0.8323  0.3344

Entry 12:
Compound: LaTmBiAs
Source: the Alexandria database
Functional: PBE
Structure: optimized geometry

Computed properties:
Total energy   -5.677 eV/atom
DFT formation energy   -27.6 kcal/mol of atoms
Space-group type   R3m

abc: 4.3737 4.3737 7.6545
angles: 73.40 73.40 60.00
Sites, in units of the cell vectors:
La  0.9924  0.9924  0.0229
Tm  0.5072  0.5072  0.4783
Bi  0.7556  0.7556  0.7332
As  0.2448  0.2448  0.2656

Entry 13:
Compound: Li8BiAs2
Source: the Alexandria database
Functional: PBE
Structure: optimized geometry

Computed properties:
Total energy   -3.198 eV/atom
DFT formation energy   -14.0 kcal/mol of atoms
Space-group type   C2/m

abc: 4.2806 6.6981 7.6867
angles: 115.82 106.17 90.00
Sites, in units of the cell vectors:
Li  0.3354  0.5553  0.6708
Li  0.6653  0.8859  0.3307
Li  0.8307  0.8286  0.6614
Li  0.9996  0.3031  0.9992
Li  0.1693  0.1714  0.3386
Li  0.3347  0.1141  0.6693
Li  0.6646  0.4447  0.3292
Li  0.0004  0.6969  0.0008
Bi  0.5000  0.0000  0.0000
As  0.8182  0.3188  0.6364
As  0.1818  0.6812  0.3636

Entry 14:
Compound: Li2BiAs2
Source: the Alexandria database
Functional: PBE
Structure: optimized geometry

Computed properties:
Total energy   -3.631 eV/atom
DFT formation energy   -5.3 kcal/mol of atoms
Polymorph energy (0 for the lowest one)   80.0 meV per atom
Space-group type   I4/mmm

abc: 4.3970 4.3970 6.1147
angles: 68.93 68.93 90.00
Sites, in units of the cell vectors:
As  0.3846  0.3846  0.2308
As  0.6154  0.6154  0.7692
Bi  0.0000  0.0000  0.0000
Li  0.7500  0.2500  0.5000
Li  0.2500  0.7500  0.5000

Entry 15:
Compound: Li3BiAs
Source: the Alexandria database
Functional: PBE
Structure: optimized geometry

Computed properties:
Total energy   -3.279 eV/atom
DFT formation energy   -9.8 kcal/mol of atoms
Polymorph energy (0 for the lowest one)   0.0 meV per atom
Space-group type   R3c

abc: 6.0334 6.0334 6.0334
angles: 80.46 80.46 80.46
Sites, in units of the cell vectors:
Li  0.0735  0.8388  0.4440
Li  0.3388  0.5735  0.9440
Li  0.5735  0.9440  0.3388
Li  0.9440  0.3388  0.5735
Li  0.4440  0.0735  0.8388
Li  0.8388  0.4440  0.0735
Bi  0.9480  0.9480  0.9480
Bi  0.4480  0.4480  0.4480
As  0.7139  0.7139  0.7139
As  0.2139  0.2139  0.2139

Entry 16:
Compound: Li6BiAs2
Source: the Alexandria database
Functional: PBE
Structure: optimized geometry

Computed properties:
Total energy   -3.200 eV/atom
DFT formation energy   -10.6 kcal/mol of atoms
Space-group type   P6/mmm

abc: 3.0925 7.6298 7.6298
angles: 120.00 90.00 90.00
Sites, in units of the cell vectors:
Li  0.5000  0.3433  0.3433
Li  0.5000  0.6567  0.6567
Li  0.5000  0.0000  0.6567
Li  0.5000  0.6567  0.0000
Li  0.5000  0.3433  0.0000
Li  0.5000  0.0000  0.3433
Bi  0.0000  0.0000  0.0000
As  0.0000  0.3333  0.6667
As  0.0000  0.6667  0.3333

Entry 17:
Compound: LiBiAs3
Source: the Alexandria database
Functional: PBE
Structure: optimized geometry

Computed properties:
Total energy   -3.541 eV/atom
DFT formation energy   9.4 kcal/mol of atoms
Polymorph energy (0 for the lowest one)   0.0 meV per atom
Space-group type   Pm-3m

abc: 4.7371 4.7371 4.7371
angles: 90.00 90.00 90.00
Sites, in units of the cell vectors:
As  0.0000  0.5000  0.0000
As  0.0000  0.0000  0.5000
As  0.5000  0.0000  0.0000
Bi  0.5000  0.5000  0.5000
Li  0.0000  0.0000  0.0000

Entry 18:
Compound: Li8Bi2As
Source: the Alexandria database
Functional: PBE
Structure: optimized geometry

Computed properties:
Total energy   -3.064 eV/atom
DFT formation energy   -12.5 kcal/mol of atoms
Space-group type   Immm

abc: 4.6263 6.4713 8.0250
angles: 113.79 106.75 90.00
Sites, in units of the cell vectors:
Li  0.3591  0.6064  0.7182
Li  0.6408  0.8876  0.2816
Li  0.8192  0.8191  0.6384
Li  0.0000  0.2393  0.0000
Li  0.1808  0.1809  0.3616
Li  0.3592  0.1124  0.7184
Li  0.6409  0.3936  0.2818
Li  0.0000  0.7607  0.0000
Bi  0.8219  0.3219  0.6438
Bi  0.1781  0.6781  0.3562
As  0.5000  0.0000  0.0000

Entry 19:
Compound: LiBiAs2
Source: the Alexandria database
Functional: PBE
Structure: optimized geometry

Computed properties:
Total energy   -3.765 eV/atom
DFT formation energy   0.2 kcal/mol of atoms
Space-group type   I-42d

abc: 6.1434 6.1434 7.4805
angles: 65.76 65.76 90.00
Sites, in units of the cell vectors:
As  0.6000  0.1250  0.2500
As  0.1500  0.6250  0.2500
As  0.3750  0.4000  0.7500
As  0.8750  0.8500  0.7500
Bi  0.0000  0.0000  0.0000
Bi  0.7500  0.2500  0.5000
Li  0.5000  0.5000  0.0000
Li  0.2500  0.7500  0.5000

Entry 20:
Compound: Li2BiAs2
Source: the Alexandria database
Functional: PBE
Structure: optimized geometry

Computed properties:
Total energy   -3.711 eV/atom
DFT formation energy   -7.1 kcal/mol of atoms
Polymorph energy (0 for the lowest one)   0.0 meV per atom
Space-group type   P4/mbm

abc: 8.2240 8.2240 3.0239
angles: 90.00 90.00 90.00
Sites, in units of the cell vectors:
As  0.3268  0.8268  0.0000
As  0.8268  0.6732  0.0000
As  0.6732  0.1732  0.0000
As  0.1732  0.3268  0.0000
Bi  0.0000  0.0000  0.0000
Bi  0.5000  0.5000  0.0000
Li  0.1218  0.6218  0.5000
Li  0.6218  0.8782  0.5000
Li  0.8782  0.3782  0.5000
Li  0.3782  0.1218  0.5000

Entry 21:
Compound: Li3BiAs
Source: the Alexandria database
Functional: PBE
Structure: optimized geometry

Computed properties:
Total energy   -3.090 eV/atom
DFT formation energy   -5.4 kcal/mol of atoms
Polymorph energy (0 for the lowest one)   188.2 meV per atom
Space-group type   Pm-3m

abc: 4.7884 4.7884 4.7884
angles: 90.00 90.00 90.00
Sites, in units of the cell vectors:
As  0.0000  0.0000  0.0000
Bi  0.5000  0.5000  0.5000
Li  0.0000  0.5000  0.0000
Li  0.0000  0.0000  0.5000
Li  0.5000  0.0000  0.0000

Entry 22:
Compound: LiBi3As
Source: the Alexandria database
Functional: PBE
Structure: optimized geometry

Computed properties:
Total energy   -3.227 eV/atom
DFT formation energy   9.5 kcal/mol of atoms
Polymorph energy (0 for the lowest one)   14.0 meV per atom
Space-group type   Pm-3m

abc: 5.1404 5.1404 5.1404
angles: 90.00 90.00 90.00
Sites, in units of the cell vectors:
As  0.5000  0.5000  0.5000
Bi  0.0000  0.5000  0.0000
Bi  0.0000  0.0000  0.5000
Bi  0.5000  0.0000  0.0000
Li  0.0000  0.0000  0.0000

Entry 23:
Compound: LiBi3As
Source: the Alexandria database
Functional: PBE
Structure: optimized geometry

Computed properties:
Total energy   -3.241 eV/atom
DFT formation energy   9.2 kcal/mol of atoms
Polymorph energy (0 for the lowest one)   0.0 meV per atom
Space-group type   Pm-3m

abc: 5.6285 5.6285 5.6285
angles: 90.00 90.00 90.00
Sites, in units of the cell vectors:
As  0.0000  0.0000  0.0000
Bi  0.0000  0.5000  0.0000
Bi  0.0000  0.0000  0.5000
Bi  0.5000  0.0000  0.0000
Li  0.5000  0.5000  0.5000

Entry 24:
Compound: Li3BiAs
Source: the Alexandria database
Functional: PBE
Structure: optimized geometry

Computed properties:
Total energy   -2.646 eV/atom
DFT formation energy   4.8 kcal/mol of atoms
Polymorph energy (0 for the lowest one)   632.1 meV per atom
Space-group type   Pm-3m

abc: 5.1260 5.1260 5.1260
angles: 90.00 90.00 90.00
Site moments in Bohr magnetons follow the coordinates.
Sites, in units of the cell vectors:
As  0.5000  0.5000  0.5000  0.34
Bi  0.0000  0.0000  0.0000  0.12
Li  0.0000  0.5000  0.0000  0.00
Li  0.0000  0.0000  0.5000  0.00
Li  0.5000  0.0000  0.0000  0.00

Entry 25:
Compound: LiMgBi2As
Source: the Alexandria database
Functional: PBE
Structure: optimized geometry

Computed properties:
Total energy   -2.871 eV/atom
DFT formation energy   7.2 kcal/mol of atoms
Space-group type   P4/mmm

abc: 5.5640 5.0230 5.5640
angles: 90.00 90.00 90.00
Sites, in units of the cell vectors:
Mg  0.0000  0.0000  0.0000
As  0.0000  0.5000  0.0000
Bi  0.0000  0.0000  0.5000
Bi  0.5000  0.0000  0.0000
Li  0.5000  0.5000  0.5000